[1]
This record from the Alexandria database describes a geometry-optimized NaLiCdS2 structure. The functional is GGA-PBE.

For the volume, the calculation gives 104.88 Å³/cell. The calculation puts the formation energy (no corrections) at -1.002 eV per atom. For the energy above the most stable polymorph in this dataset, the calculation gives 0 meV per atom.

It has space group P3m1 (No. 156), with a = 4.1486 Å, b = 4.1486 Å, c = 7.0369 Å, α = 90.00°, β = 90.00° and γ = 120.00°. The inequivalent atoms are Na at (0.0000, 0.0000, 0.0000), Li at (0.3333, 0.6667, 0.6933), Cd at (0.6667, 0.3333, 0.4080), S at (0.3333, 0.6667, 0.2692) and S at (0.6667, 0.3333, 0.7675).

=====

[2]
This record from the Alexandria database describes a geometry-optimized NaLiCdS2 structure. The functional is GGA-PBE.

For the volume, the calculation gives 451.35 Å³/cell. The calculation puts the formation energy (no corrections) at -0.968 eV per atom. For the energy above the most stable polymorph in this dataset, the calculation gives 34 meV per atom.

It has space group C2/m (No. 12), with a = 13.573 Å, b = 4.088 Å, c = 8.216 Å, α = 90.00°, β = 98.11° and γ = 90.00°. The inequivalent atoms are Na at (0.188, 0.000, 0.172), Li at (0.182, 0.000, 0.559), Cd at (0.049, 0.500, 0.708), S at (0.133, 0.500, 0.408) and S at (0.138, 0.000, 0.836).

=====

[3]
This record from the Alexandria database describes a geometry-optimized NaLiCdS2 structure. The functional is GGA-PBE.

For the volume, the calculation gives 126.86 Å³/cell. The calculation puts the formation energy (no corrections) at -0.185 eV per atom. For the energy above the most stable polymorph in this dataset, the calculation gives 817 meV per atom.

It has space group P4/mmm (No. 123), with a = 5.150 Å, b = 5.150 Å, c = 4.784 Å, α = 90.00°, β = 90.00° and γ = 90.00°. The inequivalent atoms are Na at (0.000, 0.000, 0.000), Li at (0.500, 0.500, 0.000), Cd at (0.500, 0.500, 0.500) and S at (0.000, 0.500, 0.500).

=====

[4]
This record from the Alexandria database describes a geometry-optimized Na2LiCdSb structure. The functional is GGA-PBE.

For the volume, the calculation gives 197.19 Å³/cell. The calculation puts the formation energy (no corrections) at 0.063 eV per atom.

It has space group P4/mmm (No. 123), with a = 5.872 Å, b = 5.872 Å, c = 5.719 Å, α = 90.00°, β = 90.00° and γ = 90.00°. The inequivalent atoms are Na at (0.000, 0.500, 0.000), Li at (0.000, 0.000, 0.500), Cd at (0.500, 0.500, 0.500) and Sb at (0.500, 0.500, 0.000).

=====

[5]
This record from the Alexandria database describes a geometry-optimized Na2LiCdSb2 structure. The functional is GGA-PBE.

For the volume, the calculation gives 632.77 Å³/cell. The calculation puts the formation energy (no corrections) at -0.388 eV per atom.

It has space group Ibam (No. 72), with a = 6.284 Å, b = 15.799 Å, c = 6.373 Å, α = 90.00°, β = 90.00° and γ = 90.00°. The inequivalent atoms are Na at (0.234, 0.178, 0.000), Li at (0.000, 0.500, 0.250), Cd at (0.000, 0.000, 0.250) and Sb at (0.235, 0.383, 0.000).

=====

[6]
This record from the Alexandria database describes a geometry-optimized NaLiCdSe2 structure. The functional is GGA-PBE.

For the volume, the calculation gives 517.15 Å³/cell. The calculation puts the formation energy (no corrections) at -0.935 eV per atom.

It has space group C2/m (No. 12), with a = 14.148 Å, b = 4.279 Å, c = 8.637 Å, α = 90.00°, β = 98.46° and γ = 90.00°. The inequivalent atoms are Na at (0.185, 0.000, 0.176), Li at (0.181, 0.000, 0.561), Cd at (0.054, 0.500, 0.702), Se at (0.131, 0.500, 0.406) and Se at (0.140, 0.000, 0.840).

=====

[7]
This record from the Alexandria database describes a geometry-optimized NaLiCdSi structure. The functional is GGA-PBE.

For the volume, the calculation gives 297.53 Å³/cell. The calculation puts the formation energy (no corrections) at -0.050 eV per atom.

It has space group F-43m (No. 216), with a = 6.676 Å, b = 6.676 Å, c = 6.676 Å, α = 90.00°, β = 90.00° and γ = 90.00°. The inequivalent atoms are Na at (0.000, 0.000, 0.000), Li at (0.250, 0.250, 0.750), Cd at (0.250, 0.250, 0.250) and Si at (0.000, 0.000, 0.500).

=====

[8]
This record from the Alexandria database describes a geometry-optimized NaLiSmCd structure. The functional is GGA-PBE.

For the volume, the calculation gives 416.79 Å³/cell. As for the formation energy: 0.01 eV/atom.

It has space group F-43m (No. 216), with a = 7.470 Å, b = 7.470 Å, c = 7.470 Å, α = 90.00°, β = 90.00° and γ = 90.00°. The inequivalent atoms are Na at (0.000, 0.000, 0.000), Li at (0.250, 0.250, 0.750), Sm at (0.000, 0.000, 0.500) and Cd at (0.250, 0.250, 0.250).

=====

[9]
This record from the Alexandria database describes a geometry-optimized NaLiCdSn structure. The functional is GGA-PBE.

For the volume, the calculation gives 352.27 Å³/cell. As for the formation energy: -0.24 eV/atom.

It has space group F-43m (No. 216), with a = 7.062 Å, b = 7.062 Å, c = 7.062 Å, α = 90.00°, β = 90.00° and γ = 90.00°. The inequivalent atoms are Na at (0.000, 0.000, 0.000), Li at (0.250, 0.250, 0.750), Cd at (0.250, 0.250, 0.250) and Sn at (0.000, 0.000, 0.500).

=====

[10]
This record from the Alexandria database describes a geometry-optimized NaSrLiCd2 structure. The functional is GGA-PBE.

For the volume, the calculation gives 141.38 Å³/cell. As for the formation energy: -0.08 eV/atom.

It has space group P4/mmm (No. 123), with a = 5.245 Å, b = 5.245 Å, c = 5.139 Å, α = 90.00°, β = 90.00° and γ = 90.00°. The inequivalent atoms are Na at (0.000, 0.000, 0.000), Sr at (0.500, 0.500, 0.000), Li at (0.000, 0.000, 0.500) and Cd at (0.000, 0.500, 0.500).

=====

[11]
This record from the Alexandria database describes a geometry-optimized NaSr2Li12Cd3 structure. The functional is GGA-PBE.

For the volume, the calculation gives 1443.53 Å³/cell. As for the formation energy: 0.06 eV/atom.

It has space group R-3m (No. 166, hexagonal axes), with a = 7.1114 Å, b = 7.1114 Å, c = 32.9599 Å, α = 90.00°, β = 90.00° and γ = 120.00°. The inequivalent atoms are Na at (0.0000, 0.0000, 0.0000), Sr at (0.0000, 0.0000, 0.3552), Li at (0.0166, 0.5083, 0.5900), Li at (0.0796, 0.5398, 0.1246) and Cd at (0.0000, 0.5000, 0.5000).

=====

[12]
This record from the Alexandria database describes a geometry-optimized NaSr2Li3Cd12 structure. The functional is GGA-PBE.

For the volume, the calculation gives 1660.34 Å³/cell. As for the formation energy: 0.08 eV/atom.

It has space group R-3m (No. 166, hexagonal axes), with a = 9.2098 Å, b = 9.2098 Å, c = 22.6029 Å, α = 90.00°, β = 90.00° and γ = 120.00°. The inequivalent atoms are Na at (0.0000, 0.0000, 0.0000), Sr at (0.0000, 0.0000, 0.4095), Li at (0.0000, 0.5000, 0.5000), Cd at (0.0277, 0.5139, 0.8447) and Cd at (0.1014, 0.5507, 0.3837).

=====

[13]
This record from the Alexandria database describes a geometry-optimized NaSr2Li2Cd5 structure. The functional is GGA-PBE.

For the volume, the calculation gives 526.18 Å³/cell. As for the formation energy: -0.21 eV/atom.

It has space group P4/mbm (No. 127), with a = 11.323 Å, b = 11.323 Å, c = 4.104 Å, α = 90.00°, β = 90.00° and γ = 90.00°. The inequivalent atoms are Na at (0.000, 0.000, 0.000), Sr at (0.182, 0.318, 0.000), Li at (0.115, 0.615, 0.000), Cd at (0.000, 0.500, 0.500) and Cd at (0.055, 0.790, 0.500).

=====

[14]
This record from the Alexandria database describes a geometry-optimized NaSr2Li2Cd structure. The functional is GGA-PBE.

For the volume, the calculation gives 812.72 Å³/cell. As for the formation energy: -0.05 eV/atom.

It has space group Ibam (No. 72), with a = 7.056 Å, b = 16.163 Å, c = 7.127 Å, α = 90.00°, β = 90.00° and γ = 90.00°. The inequivalent atoms are Na at (0.000, 0.000, 0.250), Sr at (0.230, 0.331, 0.000), Li at (0.227, 0.398, 0.500) and Cd at (0.000, 0.500, 0.250).

=====

[15]
This record from the Alexandria database describes a geometry-optimized NaLiTaCd2 structure. The functional is GGA-PBE.

For the volume, the calculation gives 95.99 Å³/cell. As for the formation energy: 0.82 eV/atom.

It has space group P4/mmm (No. 123), with a = 4.741 Å, b = 4.741 Å, c = 4.271 Å, α = 90.00°, β = 90.00° and γ = 90.00°. The inequivalent atoms are Na at (0.000, 0.000, 0.000), Li at (0.000, 0.000, 0.500), Ta at (0.500, 0.500, 0.000) and Cd at (0.000, 0.500, 0.500).

=====

[16]
This record from the Alexandria database describes a geometry-optimized Na2LiTl5Cd structure. The functional is GGA-PBE.

For the volume, the calculation gives 987.87 Å³/cell. As for the formation energy: -0.08 eV/atom.

It has space group Cmc2_1 (No. 36), with a = 3.459 Å, b = 18.766 Å, c = 15.218 Å, α = 90.00°, β = 90.00° and γ = 90.00°. The inequivalent atoms are Na at (0.000, 0.052, 0.000), Na at (0.000, 0.191, 0.358), Li at (0.000, 0.198, 0.669), Tl at (0.000, 0.027, 0.686), Tl at (0.000, 0.221, 0.016), Tl at (0.000, 0.361, 0.330), Tl at (0.000, 0.361, 0.674), Tl at (0.000, 0.460, 0.855) and Cd at (0.000, 0.385, 0.038).

=====

[17]
This record from the Alexandria database describes a geometry-optimized NaLiTl2Cd structure. The functional is GGA-PBE.

For the volume, the calculation gives 521.03 Å³/cell. As for the formation energy: -0.08 eV/atom. For the energy above the most stable polymorph in this dataset, the calculation gives 0 meV per atom.

It has space group Cmcm (No. 63), with a = 4.924 Å, b = 11.578 Å, c = 9.139 Å, α = 90.00°, β = 90.00° and γ = 90.00°. The inequivalent atoms are Na at (0.000, 0.065, 0.250), Li at (0.000, 0.340, 0.250), Tl at (0.000, 0.186, 0.572) and Cd at (0.000, 0.500, 0.000).

=====

[18]
This record from the Alexandria database describes a geometry-optimized Na2LiTl4Cd2 structure. The functional is GGA-PBE.

For the volume, the calculation gives 471.85 Å³/cell. As for the formation energy: -0.09 eV/atom.

It has space group C2/m (No. 12), with a = 15.254 Å, b = 3.964 Å, c = 7.958 Å, α = 90.00°, β = 101.29° and γ = 90.00°. The inequivalent atoms are Na at (0.111, 0.000, 0.136), Li at (0.000, 0.000, 0.500), Tl at (0.044, 0.500, 0.783), Tl at (0.217, 0.000, 0.809) and Cd at (0.160, 0.500, 0.477).

=====

[19]
This record from the Alexandria database describes a geometry-optimized NaLiTl3Cd structure. The functional is GGA-PBE.

For the volume, the calculation gives 315.05 Å³/cell. As for the formation energy: -0.09 eV/atom.

It has space group P2_1/m (No. 11), with a = 8.515 Å, b = 3.789 Å, c = 10.287 Å, α = 90.00°, β = 108.32° and γ = 90.00°. The inequivalent atoms are Na at (0.185, 0.250, 0.290), Li at (0.279, 0.750, 0.815), Tl at (0.115, 0.250, 0.942), Tl at (0.391, 0.750, 0.574), Tl at (0.433, 0.750, 0.129) and Cd at (0.089, 0.250, 0.610).

=====

[20]
This record from the Alexandria database describes a geometry-optimized NaLiTl2Cd structure. The functional is GGA-PBE.

For the volume, the calculation gives 138.34 Å³/cell. As for the formation energy: 0.02 eV/atom. For the energy above the most stable polymorph in this dataset, the calculation gives 99 meV per atom.

It has space group P4/mmm (No. 123), with a = 5.185 Å, b = 5.185 Å, c = 5.146 Å, α = 90.00°, β = 90.00° and γ = 90.00°. The inequivalent atoms are Na at (0.000, 0.000, 0.000), Li at (0.500, 0.500, 0.500), Tl at (0.000, 0.500, 0.500) and Cd at (0.500, 0.500, 0.000).